Model 1:
The following is a DFT calculation (PBE-GGA) of Sm2InI after structural relaxation.

Lattice parameters (Å, degrees): 9.660 9.660 9.660 23.24 23.24 23.24
Positions (direct):
Sm1 0.000 0.000 0.000
Sm2 0.170 0.170 0.170
In1 0.585 0.585 0.585
I1 0.418 0.418 0.418

Summary:
total magnetic moment = 0.00 μB per cell

=====

Model 2:
The following is a DFT calculation (PBE-GGA) of Sm2InI after structural relaxation.

Lattice parameters (Å, degrees): 9.588 9.588 9.588 23.74 23.74 23.74
Positions (direct):
Sm1 0.246 0.246 0.246
Sm2 0.754 0.754 0.754
In1 0.500 0.500 0.500
I1 0.000 0.000 0.000

Summary:
total magnetic moment = 0.00 μB per cell

=====

Relative stability in eV/atom, measured from the most stable structure: model 1 0.000; model 2 0.045

=====

Model 1:
The following is a DFT calculation (PBE-GGA) of InSn2I after structural relaxation.

Lattice parameters (Å, degrees): 5.522 5.522 5.522 60.00 60.00 60.00
Positions (direct):
In1 0.000 0.000 0.000
Sn1 0.250 0.250 0.250
Sn2 0.750 0.750 0.750
I1 0.500 0.500 0.500

Summary:
total magnetic moment = 0.00 μB per cell

=====

Model 2:
The following is a DFT calculation (PBE-GGA) of InSn2I after structural relaxation.

Lattice parameters (Å, degrees): 12.073 12.073 12.073 16.46 16.46 16.46
Positions (direct):
In1 0.000 0.000 0.000
Sn1 0.409 0.409 0.409
Sn2 0.591 0.591 0.591
I1 0.500 0.500 0.500

Summary:
total magnetic moment = 0.00 μB per cell

=====

Model 3:
The following is a DFT calculation (PBE-GGA) of InSn2I after structural relaxation.

Lattice parameters (Å, degrees): 9.201 9.201 9.201 137.99 137.99 60.91
Positions (direct):
In1 0.000 0.000 0.000
In2 0.750 0.250 0.500
Sn1 0.083 0.625 0.958
Sn2 0.375 0.333 0.458
Sn3 0.667 0.125 0.042
Sn4 0.875 0.917 0.542
I1 0.250 0.750 0.500
I2 0.500 0.500 0.000

Summary:
total magnetic moment = 0.00 μB per cell

=====

Relative stability in eV/atom, measured from the most stable structure: model 1 0.067; model 2 0.000; model 3 0.178

=====

Model 1:
The following is a DFT calculation (PBE-GGA) of In2Sn2I after structural relaxation.

Lattice parameters (Å, degrees): 8.802 8.802 3.953 90.00 90.00 90.00
Positions (direct):
In1 0.169 0.331 0.000
In2 0.331 0.831 0.000
In3 0.669 0.169 0.000
In4 0.831 0.669 0.000
Sn1 0.131 0.631 0.500
Sn2 0.369 0.131 0.500
Sn3 0.631 0.869 0.500
Sn4 0.869 0.369 0.500
I1 0.000 0.000 0.500
I2 0.500 0.500 0.500

Summary:
total magnetic moment = 0.00 μB per cell

=====

Model 2:
The following is a DFT calculation (PBE-GGA) of In2Sn2I after structural relaxation.

Lattice parameters (Å, degrees): 8.526 8.526 8.526 149.67 149.67 43.42
Positions (direct):
In1 0.096 0.096 0.000
In2 0.904 0.904 0.000
Sn1 0.250 0.750 0.500
Sn2 0.750 0.250 0.500
I1 0.500 0.500 0.000

Summary:
total magnetic moment = 0.00 μB per cell

=====

Relative stability in eV/atom, measured from the most stable structure: model 1 0.034; model 2 0.000

=====

Model 1:
The following is a DFT calculation (PBE-GGA) of In2Sn2I after structural relaxation.

Lattice parameters (Å, degrees): 6.992 6.992 6.992 136.36 136.36 63.42
Positions (direct):
In1 0.250 0.750 0.500
In2 0.750 0.250 0.500
Sn1 0.121 0.121 0.000
Sn2 0.879 0.879 0.000
I1 0.500 0.500 0.000

Summary:
total magnetic moment = 0.00 μB per cell

=====

Model 2:
The following is a DFT calculation (PBE-GGA) of In2Sn2I after structural relaxation.

Lattice parameters (Å, degrees): 8.897 8.897 3.950 90.00 90.00 90.00
Positions (direct):
In1 0.178 0.322 0.000
In2 0.322 0.822 0.000
In3 0.678 0.178 0.000
In4 0.822 0.678 0.000
Sn1 0.120 0.620 0.500
Sn2 0.380 0.120 0.500
Sn3 0.620 0.880 0.500
Sn4 0.880 0.380 0.500
I1 0.000 0.000 0.000
I2 0.500 0.500 0.000

Summary:
total magnetic moment = 0.00 μB per cell

=====

Relative stability in eV/atom, measured from the most stable structure: model 1 0.000; model 2 0.027

=====

Model 1:
The following is a DFT calculation (PBE-GGA) of In2SnI6 after structural relaxation.

Lattice parameters (Å, degrees): 10.565 10.565 9.921 107.86 107.86 88.00
Positions (direct):
In1 0.092 0.281 0.255
In2 0.281 0.092 0.755
In3 0.719 0.908 0.245
In4 0.908 0.719 0.745
Sn1 0.421 0.579 0.750
Sn2 0.579 0.421 0.250
I1 0.126 0.146 0.963
I2 0.142 0.550 0.760
I3 0.146 0.126 0.463
I4 0.299 0.502 0.386
I5 0.450 0.858 0.740
I6 0.498 0.701 0.114
I7 0.502 0.299 0.886
I8 0.550 0.142 0.260
I9 0.701 0.498 0.614
I10 0.854 0.874 0.537
I11 0.858 0.450 0.240
I12 0.874 0.854 0.037

Summary:
total magnetic moment = 0.00 μB per cell

=====

Model 2:
The following is a DFT calculation (PBE-GGA) of In2SnI6 after structural relaxation.

Lattice parameters (Å, degrees): 8.922 8.922 8.922 52.63 52.63 52.63
Positions (direct):
In1 0.000 0.000 0.000
In2 0.180 0.180 0.180
Sn1 0.510 0.510 0.510
I1 0.084 0.425 0.811
I2 0.308 0.935 0.532
I3 0.425 0.811 0.084
I4 0.532 0.308 0.935
I5 0.811 0.084 0.425
I6 0.935 0.532 0.308

Summary:
total magnetic moment = 0.00 μB per cell

=====

Relative stability in eV/atom, measured from the most stable structure: model 1 0.056; model 2 0.000

=====

Model 1:
The following is a DFT calculation (PBE-GGA) of InSnI2 after structural relaxation.

Lattice parameters (Å, degrees): 10.844 10.844 10.844 147.70 147.70 46.32
Positions (direct):
In1 0.000 0.000 0.000
In2 0.750 0.250 0.500
Sn1 0.250 0.750 0.500
Sn2 0.500 0.500 0.000
I1 0.149 0.625 0.024
I2 0.375 0.399 0.524
I3 0.601 0.125 0.976
I4 0.875 0.851 0.476

Summary:
total magnetic moment = 0.00 μB per cell

=====

Model 2:
The following is a DFT calculation (PBE-GGA) of InSnI2 after structural relaxation.

Lattice parameters (Å, degrees): 5.749 5.749 5.749 60.00 60.00 60.00
Positions (direct):
In1 0.000 0.000 0.000
Sn1 0.500 0.500 0.500
I1 0.250 0.250 0.250
I2 0.750 0.750 0.750

Summary:
total magnetic moment = 0.00 μB per cell

=====

Relative stability in eV/atom, measured from the most stable structure: model 1 0.077; model 2 0.000

=====

Model 1:
The following is a DFT calculation (PBE-GGA) of Sr2InI after structural relaxation.

Lattice parameters (Å, degrees): 5.952 5.952 5.952 60.00 60.00 60.00
Positions (direct):
Sr1 0.250 0.250 0.250
Sr2 0.750 0.750 0.750
In1 0.000 0.000 0.000
I1 0.500 0.500 0.500

Summary:
total magnetic moment = 1.75 μB per cell

=====

Model 2:
The following is a DFT calculation (PBE-GGA) of Sr2InI after structural relaxation.

Lattice parameters (Å, degrees): 9.705 9.705 9.705 26.48 26.48 26.48
Positions (direct):
Sr1 0.000 0.000 0.000
Sr2 0.178 0.178 0.178
In1 0.589 0.589 0.589
I1 0.758 0.758 0.758

Summary:
total magnetic moment = 0.00 μB per cell

=====

Relative stability in eV/atom, measured from the most stable structure: model 1 0.210; model 2 0.000

=====

Model 1:
The following is a DFT calculation (PBE-GGA) of Sr2InI after structural relaxation.

Lattice parameters (Å, degrees): 7.637 7.637 7.637 108.64 108.64 111.14
Positions (direct):
Sr1 0.125 0.625 0.000
Sr2 0.375 0.375 0.500
Sr3 0.625 0.125 0.000
Sr4 0.875 0.875 0.500
In1 0.000 0.000 0.000
In2 0.750 0.250 0.500
I1 0.250 0.750 0.500
I2 0.500 0.500 0.000

Summary:
total magnetic moment = 0.00 μB per cell

=====

Model 2:
The following is a DFT calculation (PBE-GGA) of Sr2InI after structural relaxation.

Lattice parameters (Å, degrees): 9.485 9.485 9.485 27.46 27.46 27.46
Positions (direct):
Sr1 0.245 0.245 0.245
Sr2 0.755 0.755 0.755
In1 0.500 0.500 0.500
I1 0.000 0.000 0.000

Summary:
total magnetic moment = 0.00 μB per cell

=====

Relative stability in eV/atom, measured from the most stable structure: model 1 0.255; model 2 0.000

=====

Model 1:
The following is a DFT calculation (PBE-GGA) of SrIn3I after structural relaxation.

Lattice parameters (Å, degrees): 6.150 6.150 6.150 90.00 90.00 90.00
Positions (direct):
Sr1 0.000 0.000 0.000
In1 0.000 0.500 0.500
In2 0.500 0.000 0.500
In3 0.500 0.500 0.000
I1 0.500 0.500 0.500

Summary:
total magnetic moment = 0.00 μB per cell

=====

Model 2:
The following is a DFT calculation (PBE-GGA) of SrIn3I after structural relaxation.

Lattice parameters (Å, degrees): 6.465 6.465 6.465 90.00 90.00 90.00
Positions (direct):
Sr1 0.000 0.000 0.000
In1 0.000 0.000 0.500
In2 0.000 0.500 0.000
In3 0.500 0.000 0.000
I1 0.500 0.500 0.500

Summary:
total magnetic moment = 1.16 μB per cell

=====

Relative stability in eV/atom, measured from the most stable structure: model 1 0.000; model 2 0.295

=====

Model 1:
The following is a DFT calculation (PBE-GGA) of Sr2In2I7 after structural relaxation.

Lattice parameters (Å, degrees): 8.613 8.613 8.803 93.65 93.65 111.01
Positions (direct):
Sr1 0.185 0.815 0.000
Sr2 0.815 0.185 0.000
In1 0.221 0.221 0.606
In2 0.779 0.779 0.394
I1 0.058 0.456 0.782
I2 0.080 0.080 0.232
I3 0.456 0.058 0.782
I4 0.500 0.500 0.500
I5 0.544 0.942 0.218
I6 0.920 0.920 0.768
I7 0.942 0.544 0.218

Summary:
total magnetic moment = 0.00 μB per cell

=====

Model 2:
The following is a DFT calculation (PBE-GGA) of Sr2In2I7 after structural relaxation.

Lattice parameters (Å, degrees): 10.652 10.652 10.652 154.95 65.63 120.44
Positions (direct):
Sr1 0.000 0.000 0.000
Sr2 0.546 0.046 0.500
In1 0.474 0.235 0.238
In2 0.997 0.235 0.762
I1 0.177 0.549 0.628
I2 0.250 0.942 0.308
I3 0.327 0.327 0.000
I4 0.616 0.720 0.895
I5 0.633 0.942 0.692
I6 0.825 0.720 0.105
I7 0.921 0.549 0.372

Summary:
total magnetic moment = 0.00 μB per cell

=====

Relative stability in eV/atom, measured from the most stable structure: model 1 0.000; model 2 0.006

=====

Model 1:
The following is a DFT calculation (PBE-GGA) of SrInI2 after structural relaxation.

Lattice parameters (Å, degrees): 10.836 10.836 10.836 25.82 25.82 25.82
Positions (direct):
Sr1 0.000 0.000 0.000
In1 0.500 0.500 0.500
I1 0.101 0.101 0.101
I2 0.899 0.899 0.899

Summary:
total magnetic moment = 0.00 μB per cell

=====

Model 2:
The following is a DFT calculation (PBE-GGA) of SrInI2 after structural relaxation.

Lattice parameters (Å, degrees): 5.912 5.912 5.912 60.00 60.00 60.00
Positions (direct):
Sr1 0.000 0.000 0.000
In1 0.500 0.500 0.500
I1 0.250 0.250 0.250
I2 0.750 0.750 0.750

Summary:
total magnetic moment = 0.00 μB per cell

=====

Relative stability in eV/atom, measured from the most stable structure: model 1 0.180; model 2 0.000

=====

Model 1:
The following is a DFT calculation (PBE-GGA) of SrIn2I4 after structural relaxation.

Lattice parameters (Å, degrees): 9.011 9.011 9.243 117.21 117.21 31.01
Positions (direct):
Sr1 0.000 0.000 0.000
In1 0.286 0.286 0.310
In2 0.714 0.714 0.690
I1 0.118 0.118 0.404
I2 0.369 0.369 0.001
I3 0.631 0.631 0.999
I4 0.882 0.882 0.596

Summary:
total magnetic moment = 0.00 μB per cell

=====

Model 2:
The following is a DFT calculation (PBE-GGA) of SrIn2I4 after structural relaxation.

Lattice parameters (Å, degrees): 9.485 9.485 9.485 139.72 139.72 58.28
Positions (direct):
Sr1 0.000 0.000 0.000
In1 0.381 0.381 0.000
In2 0.619 0.619 0.000
I1 0.000 0.500 0.500
I2 0.194 0.194 0.000
I3 0.500 0.000 0.500
I4 0.806 0.806 0.000

Summary:
total magnetic moment = 0.00 μB per cell

=====

Relative stability in eV/atom, measured from the most stable structure: model 1 0.000; model 2 0.079